1.
# PrDy2UO8 | the Alexandria database | PBE-GGA | relaxed
# Crystal system = orthorhombic
# Calculated density = 8.58 g/cm³
# Total magnetization = 0.85 μB/cell
# Formation energy from raw total energies = -3.24 eV per atom
data_PrDy2UO8
_space_group_name_H-M_alt 'P 1'
_space_group_IT_number 1
_cell_length_a 3.919
_cell_length_b 5.343
_cell_length_c 7.687
_cell_angle_alpha 90.00
_cell_angle_beta 90.00
_cell_angle_gamma 90.02
loop_
_space_group_symop_operation_xyz
'x,y,z'
loop_
_atom_site_label
_atom_site_type_symbol
_atom_site_fract_x
_atom_site_fract_y
_atom_site_fract_z
O1 O 0.000 0.244 0.222
O2 O 0.500 0.768 0.000
O3 O 0.000 0.756 0.222
O4 O 0.500 0.232 0.000
O5 O 0.000 0.756 0.778
O6 O 0.000 0.244 0.778
O7 O 0.500 0.728 0.500
O8 O 0.500 0.272 0.500
U1 U 0.000 0.000 0.000
Dy1 Dy 0.500 0.500 0.762
Dy2 Dy 0.500 0.500 0.238
Pr1 Pr 0.000 0.000 0.500

2.
# PrDyUO6 | the Alexandria database | PBE-GGA | relaxed
# Crystal system = trigonal
# Calculated density = 7.34 g/cm³
# Total magnetization = 0.00 μB/cell
# Formation energy from raw total energies = -3.33 eV per atom
data_PrDyUO6
_space_group_name_H-M_alt 'P 1'
_space_group_IT_number 1
_cell_length_a 5.834
_cell_length_b 5.834
_cell_length_c 9.783
_cell_angle_alpha 90.00
_cell_angle_beta 90.00
_cell_angle_gamma 120.00
loop_
_space_group_symop_operation_xyz
'x,y,z'
loop_
_atom_site_label
_atom_site_type_symbol
_atom_site_fract_x
_atom_site_fract_y
_atom_site_fract_z
U1 U 0.333 0.667 0.750
U2 U 0.667 0.333 0.250
O1 O 0.023 0.364 0.638
O2 O 0.977 0.636 0.362
O3 O 0.636 0.977 0.862
O4 O 0.364 0.341 0.362
O5 O 0.659 0.023 0.362
O6 O 0.977 0.341 0.138
O7 O 0.659 0.636 0.138
O8 O 0.364 0.023 0.138
O9 O 0.341 0.977 0.638
O10 O 0.341 0.364 0.862
O11 O 0.023 0.659 0.862
O12 O 0.636 0.659 0.638
Pr1 Pr 0.000 0.000 0.500
Pr2 Pr 0.000 0.000 0.000
Dy1 Dy 0.667 0.333 0.750
Dy2 Dy 0.333 0.667 0.250

- What is the formula in the first record?
  PrDy2UO8